Computed, not measured: crystalline Cr2PtW at its relaxed geometry at the PBE level of DFT.

a b c (Å): 2.824 2.824 6.918
angles (deg): 90.00 90.00 90.00
Fractional positions:
Cr1 0.000 0.000 0.000
Cr2 0.500 0.500 0.179
Pt1 0.000 0.000 0.450
W1 0.500 0.500 0.743

Values from the calculation:
As for the calculated formation energy: 0.001 eV/atom. The total magnetic moment is 0.2 μB/f.u. Its crystal system is tetragonal. The density of states at the Fermi level comes out at 0.79 states/eV per atom. Its energy relative to the lowest polymorph listed for this composition is 0.010 eV per atom. As for the total energy: -9.5587 eV/atom.

***

Computed, not measured: crystalline Sr2NpO4 at its relaxed geometry at the PBE level of DFT.

a b c (Å): 6.158 10.447 3.587
angles (deg): 90.00 90.00 90.00
Fractional positions:
Sr1 0.064 0.178 0.000
Sr2 0.436 0.678 0.000
Sr3 0.564 0.322 0.000
Sr4 0.936 0.822 0.000
Np1 0.000 0.500 0.500
Np2 0.500 0.000 0.500
O1 0.139 0.691 0.500
O2 0.225 0.455 0.000
O3 0.275 0.955 0.000
O4 0.361 0.191 0.500
O5 0.639 0.809 0.500
O6 0.725 0.045 0.000
O7 0.775 0.545 0.000
O8 0.861 0.309 0.500

Values from the calculation:
The total magnetic moment is 3.0 μB/f.u. Its crystal system is orthorhombic. The density of states at the Fermi level comes out at 1.10 states/eV per atom. Its uncorrected formation energy is -2.94 eV/atom. As for the total energy: -8.0996 eV/atom.

***

Computed, not measured: crystalline NdTm2Zn2Ge2 at its relaxed geometry at the PBE level of DFT.

a b c (Å): 11.352 11.352 11.352
angles (deg): 21.02 21.02 21.02
Fractional positions:
Nd1 0.000 0.000 0.000
Tm1 0.125 0.125 0.125
Tm2 0.875 0.875 0.875
Zn1 0.394 0.394 0.394
Zn2 0.606 0.606 0.606
Ge1 0.262 0.262 0.262
Ge2 0.738 0.738 0.738

Values from the calculation:
As for the calculated formation energy: -0.433 eV/atom. The total magnetic moment is 0.0 μB/f.u. Its crystal system is trigonal. The density of states at the Fermi level comes out at 0.87 states/eV per atom. As for the total energy: -4.0752 eV/atom.

***

Computed, not measured: crystalline CrAg2Os at its relaxed geometry at the PBE level of DFT.

a b c (Å): 4.430 4.430 4.430
angles (deg): 60.00 60.00 60.00
Fractional positions:
Cr1 0.000 0.000 0.000
Ag1 0.250 0.250 0.250
Ag2 0.750 0.750 0.750
Os1 0.500 0.500 0.500

Values from the calculation:
As for the calculated formation energy: 1.116 eV/atom. The total magnetic moment is 0.0 μB/f.u. Its crystal system is cubic. The density of states at the Fermi level comes out at 1.72 states/eV per atom. Its energy relative to the lowest polymorph listed for this composition is 0.801 eV per atom. As for the total energy: -5.5232 eV/atom.

***

Computed, not measured: crystalline ZnRuIO2 at its relaxed geometry at the PBE level of DFT.

a b c (Å): 3.803 3.803 7.701
angles (deg): 90.00 90.00 90.00
Fractional positions:
Zn1 0.000 0.000 0.000
Ru1 0.500 0.500 0.500
I1 0.500 0.500 0.000
O1 0.000 0.500 0.500
O2 0.500 0.000 0.500

Values from the calculation:
The total magnetic moment is 0.0 μB/f.u. Its crystal system is tetragonal. The density of states at the Fermi level comes out at 0.47 states/eV per atom. Its uncorrected formation energy is -0.29 eV/atom. Its energy relative to the lowest polymorph listed for this composition is 0.000 eV per atom. As for the total energy: -4.6979 eV/atom.

***

Computed, not measured: crystalline CeHf3Tc2 at its relaxed geometry at the PBE level of DFT.

a b c (Å): 3.280 3.280 11.326
angles (deg): 90.00 90.00 90.00
Fractional positions:
Ce1 0.000 0.000 0.000
Hf1 0.500 0.500 0.220
Hf2 0.500 0.500 0.500
Hf3 0.500 0.500 0.780
Tc1 0.000 0.000 0.352
Tc2 0.000 0.000 0.648

Values from the calculation:
As for the calculated formation energy: -0.305 eV/atom. The total magnetic moment is 0.5 μB/f.u. Its crystal system is tetragonal. The density of states at the Fermi level comes out at 1.24 states/eV per atom. As for the total energy: -9.7261 eV/atom.

***

Computed, not measured: crystalline Mn2NiPt at its relaxed geometry at the PBE level of DFT.

a b c (Å): 8.489 8.489 8.489
angles (deg): 18.33 18.33 18.33
Fractional positions:
Mn1 0.000 0.000 0.000
Mn2 0.252 0.252 0.252
Ni1 0.509 0.509 0.509
Pt1 0.754 0.754 0.754

Values from the calculation:
As for the calculated formation energy: 0.048 eV/atom. The total magnetic moment is 6.2 μB/f.u. Its crystal system is trigonal. The density of states at the Fermi level comes out at 1.13 states/eV per atom. As for the total energy: -7.4923 eV/atom.

***

Computed, not measured: crystalline InB3N at its relaxed geometry at the PBE level of DFT.

a b c (Å): 3.711 3.711 3.711
angles (deg): 90.00 90.00 90.00
Fractional positions:
In1 0.000 0.000 0.000
B1 0.000 0.500 0.500
B2 0.500 0.000 0.500
B3 0.500 0.500 0.000
N1 0.500 0.500 0.500

Values from the calculation:
The total magnetic moment is 0.0 μB/f.u. Its crystal system is cubic. The density of states at the Fermi level comes out at 0.33 states/eV per atom. Its uncorrected formation energy is 1.91 eV/atom. Its energy relative to the lowest polymorph listed for this composition is 0.000 eV per atom. As for the total energy: -4.3054 eV/atom.

***

Computed, not measured: crystalline LaCrC2 at its relaxed geometry at the PBE level of DFT.

a b c (Å): 6.337 6.337 7.496
angles (deg): 90.00 90.00 127.51
Fractional positions:
La1 0.168 0.832 0.931
La2 0.332 0.668 0.431
La3 0.668 0.332 0.569
La4 0.832 0.168 0.069
Cr1 0.060 0.940 0.358
Cr2 0.440 0.560 0.858
Cr3 0.560 0.440 0.142
Cr4 0.940 0.060 0.642
C1 0.109 0.891 0.594
C2 0.115 0.385 0.750
C3 0.385 0.115 0.250
C4 0.391 0.609 0.094
C5 0.609 0.391 0.906
C6 0.615 0.885 0.750
C7 0.885 0.615 0.250
C8 0.891 0.109 0.406

Values from the calculation:
As for the calculated formation energy: -0.079 eV/atom. The total magnetic moment is 0.0 μB/f.u. Its crystal system is orthorhombic. The density of states at the Fermi level comes out at 0.12 states/eV per atom. As for the total energy: -8.3283 eV/atom.

***

Computed, not measured: crystalline MnNi8B2 at its relaxed geometry at the PBE level of DFT.

a b c (Å): 5.663 5.663 3.903
angles (deg): 98.07 98.07 111.67
Fractional positions:
Mn1 0.000 0.000 0.000
Ni1 0.068 0.329 0.586
Ni2 0.254 0.746 0.000
Ni3 0.329 0.068 0.586
Ni4 0.393 0.393 0.202
Ni5 0.607 0.607 0.798
Ni6 0.671 0.932 0.414
Ni7 0.746 0.254 0.000
Ni8 0.932 0.671 0.414
B1 0.317 0.683 0.500
B2 0.683 0.317 0.500

Values from the calculation:
As for the calculated formation energy: -0.134 eV/atom. The total magnetic moment is 3.9 μB/f.u. Its crystal system is monoclinic. The density of states at the Fermi level comes out at 0.98 states/eV per atom. As for the total energy: -6.3862 eV/atom.

***

Computed, not measured: crystalline Ca2PH at its relaxed geometry at the PBE level of DFT.

a b c (Å): 4.797 4.797 4.797
angles (deg): 60.00 60.00 60.00
Fractional positions:
Ca1 0.250 0.250 0.250
Ca2 0.750 0.750 0.750
P1 0.000 0.000 0.000
H1 0.500 0.500 0.500

Values from the calculation:
The total magnetic moment is 0.0 μB/f.u. Its crystal system is cubic. The density of states at the Fermi level comes out at 0.00 states/eV per atom. Its energy relative to the lowest polymorph listed for this composition is 0.132 eV per atom. As for the total energy: -3.9677 eV/atom.

***

Computed, not measured: crystalline CaTe2Se at its relaxed geometry at the PBE level of DFT.

a b c (Å): 5.170 5.170 4.207
angles (deg): 90.00 90.00 101.46
Fractional positions:
Ca1 0.000 0.000 0.000
Te1 0.000 0.500 0.500
Te2 0.500 0.000 0.500
Se1 0.500 0.500 0.000

Values from the calculation:
The total magnetic moment is 0.0 μB/f.u. Its crystal system is orthorhombic. The density of states at the Fermi level comes out at 0.70 states/eV per atom. Its uncorrected formation energy is -0.50 eV/atom. As for the total energy: -3.4422 eV/atom.

***

Computed, not measured: crystalline Li4Tb3TmSe8 at its relaxed geometry at the PBE level of DFT.

a b c (Å): 8.021 8.021 8.021
angles (deg): 61.00 61.00 61.00
Fractional positions:
Li1 0.000 0.000 0.000
Li2 0.000 0.500 0.500
Li3 0.500 0.000 0.500
Li4 0.500 0.500 0.000
Tb1 0.000 0.000 0.500
Tb2 0.000 0.500 0.000
Tb3 0.500 0.000 0.000
Tm1 0.500 0.500 0.500
Se1 0.251 0.251 0.251
Se2 0.251 0.251 0.745
Se3 0.251 0.745 0.251
Se4 0.255 0.749 0.749
Se5 0.745 0.251 0.251
Se6 0.749 0.255 0.749
Se7 0.749 0.749 0.255
Se8 0.749 0.749 0.749

Values from the calculation:
The total magnetic moment is 0.0 μB/f.u. Its crystal system is trigonal. The density of states at the Fermi level comes out at 0.00 states/eV per atom. Its uncorrected formation energy is -1.70 eV/atom. As for the total energy: -5.0637 eV/atom.

***

Computed, not measured: crystalline Dy5MgTl4 at its relaxed geometry at the PBE level of DFT.

a b c (Å): 3.791 3.791 18.887
angles (deg): 90.00 90.00 90.00
Fractional positions:
Dy1 0.000 0.000 0.000
Dy2 0.000 0.000 0.202
Dy3 0.000 0.000 0.403
Dy4 0.000 0.000 0.597
Dy5 0.000 0.000 0.798
Mg1 0.500 0.500 0.500
Tl1 0.500 0.500 0.101
Tl2 0.500 0.500 0.305
Tl3 0.500 0.500 0.695
Tl4 0.500 0.500 0.899

Values from the calculation:
As for the calculated formation energy: -0.296 eV/atom. The total magnetic moment is 0.0 μB/f.u. Its crystal system is tetragonal. The density of states at the Fermi level comes out at 0.88 states/eV per atom. As for the total energy: -3.7027 eV/atom.

***

Computed, not measured: crystalline PrAlPd at its relaxed geometry at the PBE level of DFT.

a b c (Å): 6.184 6.184 6.184
angles (deg): 148.62 148.62 44.97
Fractional positions:
Pr1 0.000 0.000 0.000
Al1 0.294 0.294 0.000
Pd1 0.697 0.697 0.000

Values from the calculation:
As for the calculated formation energy: -0.601 eV/atom. The total magnetic moment is 0.0 μB/f.u. Its crystal system is tetragonal. The density of states at the Fermi level comes out at 1.11 states/eV per atom. As for the total energy: -5.1727 eV/atom.

***

Computed, not measured: crystalline GdPuTlRu at its relaxed geometry at the PBE level of DFT.

a b c (Å): 5.118 5.118 5.118
angles (deg): 60.00 60.00 60.00
Fractional positions:
Gd1 0.000 0.000 0.000
Pu1 0.500 0.500 0.500
Tl1 0.250 0.250 0.250
Ru1 0.750 0.750 0.750

Values from the calculation:
As for the calculated formation energy: -0.012 eV/atom. The total magnetic moment is 1.9 μB/f.u. Its crystal system is cubic. The density of states at the Fermi level comes out at 2.29 states/eV per atom. As for the total energy: -10.0261 eV/atom.

***

Computed, not measured: crystalline Dy3Tm4Tl at its relaxed geometry at the PBE level of DFT.

a b c (Å): 3.538 3.538 19.072
angles (deg): 90.00 90.00 90.00
Fractional positions:
Dy1 0.000 0.000 0.000
Dy2 0.000 0.000 0.260
Dy3 0.000 0.000 0.740
Tm1 0.500 0.500 0.130
Tm2 0.500 0.500 0.389
Tm3 0.500 0.500 0.611
Tm4 0.500 0.500 0.870
Tl1 0.000 0.000 0.500

Values from the calculation:
As for the calculated formation energy: -0.071 eV/atom. The total magnetic moment is 0.0 μB/f.u. Its crystal system is tetragonal. The density of states at the Fermi level comes out at 1.25 states/eV per atom. Its energy relative to the lowest polymorph listed for this composition is 0.002 eV per atom. As for the total energy: -4.3287 eV/atom.

***

Computed, not measured: crystalline K2CrCu2Te4 at its relaxed geometry at the PBE level of DFT.

a b c (Å): 8.060 8.060 8.288
angles (deg): 109.11 109.11 29.51
Fractional positions:
K1 0.133 0.133 0.067
K2 0.867 0.867 0.933
Cr1 0.000 0.000 0.500
Cu1 0.306 0.306 0.515
Cu2 0.694 0.694 0.485
Te1 0.188 0.188 0.680
Te2 0.481 0.481 0.712
Te3 0.519 0.519 0.288
Te4 0.812 0.812 0.320

Values from the calculation:
The total magnetic moment is 2.7 μB/f.u. Its crystal system is monoclinic. The density of states at the Fermi level comes out at 0.40 states/eV per atom. Its uncorrected formation energy is -0.47 eV/atom. As for the total energy: -4.0918 eV/atom.

***

Computed, not measured: crystalline Na2LiSc at its relaxed geometry at the PBE level of DFT.

a b c (Å): 6.761 6.761 6.761
angles (deg): 102.89 102.89 123.64
Fractional positions:
Na1 0.088 0.125 0.463
Na2 0.375 0.912 0.037
Na3 0.662 0.625 0.537
Na4 0.875 0.338 0.963
Li1 0.000 0.000 0.000
Li2 0.750 0.250 0.500
Sc1 0.250 0.750 0.500
Sc2 0.500 0.500 0.000

Values from the calculation:
As for the calculated formation energy: 0.492 eV/atom. The total magnetic moment is 1.4 μB/f.u. Its crystal system is tetragonal. The density of states at the Fermi level comes out at 1.10 states/eV per atom. Its energy relative to the lowest polymorph listed for this composition is 0.042 eV per atom. As for the total energy: -2.2284 eV/atom.

***

Computed, not measured: crystalline Pm2PrRu at its relaxed geometry at the PBE level of DFT.

a b c (Å): 7.424 9.705 6.496
angles (deg): 90.00 90.00 90.00
Fractional positions:
Pm1 0.176 0.068 0.170
Pm2 0.176 0.432 0.170
Pm3 0.324 0.568 0.670
Pm4 0.324 0.932 0.670
Pm5 0.676 0.068 0.330
Pm6 0.676 0.432 0.330
Pm7 0.824 0.568 0.830
Pm8 0.824 0.932 0.830
Pr1 0.042 0.250 0.643
Pr2 0.458 0.750 0.143
Pr3 0.542 0.250 0.857
Pr4 0.958 0.750 0.357
Ru1 0.114 0.750 0.943
Ru2 0.386 0.250 0.443
Ru3 0.614 0.750 0.557
Ru4 0.886 0.250 0.057

Values from the calculation:
As for the calculated formation energy: -0.200 eV/atom. The total magnetic moment is 0.0 μB/f.u. Its crystal system is orthorhombic. The density of states at the Fermi level comes out at 1.00 states/eV per atom. Its energy relative to the lowest polymorph listed for this composition is 0.000 eV per atom. As for the total energy: -6.0889 eV/atom.